DFT (GGA-PBE) results for an optimized crystal structure of ZrTiTe.

Calculated values
The value obtained for the energy above the most stable polymorph in this dataset is 411 meV per atom. The symmetry is P-6m2. As for the density: 6.820 Mg/m³. The calculation puts the volume at 65 Å³/f.u. The total energy comes out at -6.63 eV per atom. The raw formation energy comes out at -0.102 eV/atom.

Cell lengths 3.3939, 4.7001, 4.7001 Å; angles 120.00, 90.00, 90.00 degrees
Last column: magnetic moment on the atom in μB.
Sites, in units of the cell vectors:
Zr 0.6673 0.6667 0.3333  0.21
Te 0.1663 0.3333 0.6667  0.00
Ti 0.1664 0.0000 0.0000  0.67